La3CrWS3O6 after structural relaxation. Source: Alexandria, functional PBE+U.

abc: 9.5061 9.5061 5.6414
angles: 90.00 90.00 120.00
Space group P6_3/m (No. 176)
Asymmetric unit:
La  0.0869  0.4076  0.2500 [6 per cell]
Cr  0.0000  0.0000  0.0000 [2 per cell]
W  0.3333  0.6667  0.7500 [2 per cell]
S  0.0438  0.2261  0.7500 [6 per cell]
O  0.1604  0.6328  0.5254 [12 per cell]

Output
- Density: 6.4 g/cm3
- Electronic total energy: -7.571 eV/atom
- Crystal system: hexagonal